(1)
Computed, not measured: a crystal of HfCuAs2 relaxed with PBEsol at the SCAN level of DFT.

Computed properties:
**Space group**: Fm-3m
**Energy**: -29.693 eV/atom
**E_form**: -12.5 kJ/mol of atoms

Cell: 4.5623 4.5623 4.5623 Å, 60.00 60.00 60.00°
With the nearest neighbours (Å) after each atom.
Sites, in units of the cell vectors:
Hf1 0.0000 0.0000 0.0000  8 As 2.79
Cu1 0.5000 0.5000 0.5000  8 As 2.79
As1 0.2500 0.2500 0.2500  4 Cu 2.79, 4 Hf 2.79
As2 0.7500 0.7500 0.7500  4 Cu 2.79, 4 Hf 2.79

---

(2)
Computed, not measured: a crystal of Cu2HgAs relaxed with PBEsol at the SCAN level of DFT.

Computed properties:
**Space group**: P4mm
**Energy**: -29.495 eV/atom
**E_form**: 18.7 kJ/mol of atoms

Cell: 3.0399 3.0399 6.9547 Å, 90.00 90.00 90.00°
With the nearest neighbours (Å) after each atom.
Sites, in units of the cell vectors:
Cu1 0.0000 0.0000 0.0000  4 Cu 2.51, 4 As 2.54
Cu2 0.5000 0.5000 0.1869  4 Cu 2.51, 1 As 2.66, 4 Hg 2.75
Hg1 0.0000 0.0000 0.4326  5 Cu 2.75-3.01, 4 Hg 3.04
As1 0.5000 0.5000 0.8043  5 Cu 2.54-2.66

---

(3)
Computed, not measured: a crystal of Cu2HgAs2 relaxed with PBEsol at the SCAN level of DFT.

Computed properties:
**Space group**: I4/mmm
**Energy**: -27.553 eV/atom
**E_form**: 22.8 kJ/mol of atoms

Cell: 6.4082 6.4082 6.4082 Å, 145.22 145.22 50.00°
With the nearest neighbours (Å) after each atom.
Sites, in units of the cell vectors:
Cu1 0.1045 0.1045 0.0000  1 Cu 2.43, 4 As 2.55
Cu2 0.8955 0.8955 0.0000  1 Cu 2.43, 4 As 2.55
Hg1 0.5000 0.5000 0.0000  8 Cu 2.97
As1 0.2500 0.7500 0.5000  4 Cu 2.55, 4 As 2.71
As2 0.7500 0.2500 0.5000  4 Cu 2.55, 4 As 2.71

---

(4)
Computed, not measured: a crystal of Cu2HgAs relaxed with PBEsol at the SCAN level of DFT.

Computed properties:
**Space group**: Pm
**Energy**: -29.518 eV/atom
**E_form**: 16.4 kJ/mol of atoms

Cell: 2.8733 4.0482 5.6019 Å, 90.00 91.72 90.00°
With the nearest neighbours (Å) after each atom.
Sites, in units of the cell vectors:
Cu1 0.0000 0.0000 0.0000  4 As 2.50-2.52, 2 Cu 2.63
Cu2 0.0245 0.5000 0.2995  2 As 2.50-2.51, 2 Cu 2.63, 4 Hg 2.72
Hg1 0.5365 0.0000 0.4970  4 Cu 2.72, 2 Hg 2.87
As1 0.5007 0.5000 0.9336  6 Cu 2.50-2.52